<A>
The following is a SCAN calculation of a PBEsol-optimized structure of BaSr2Pt, from Alexandria via LeMat-Bulk.

Properties
DOS(E_F), states/eV per atom: 0.575
SG: Amm2, No. 38

The structure in extended XYZ format:
```
4
Lattice="4.3738 0.0000 0.0000 0.0000 6.0481 -0.1410 0.0000 -2.8586 6.9063" Properties=species:S:1:pos:R:3 pbc="T T T"
Sr 0.0000 0.0334 1.4367
Sr 2.1869 3.1055 3.2855
Ba 0.0000 0.1332 5.4905
Pt 2.1869 0.0829 3.3885
```

<B>
The following is a SCAN calculation of a PBEsol-optimized structure of BaSr2Pt, from Alexandria via LeMat-Bulk.

Properties
DOS(E_F), states/eV per atom: 0.661
SG: P4/mmm, No. 123

The structure in extended XYZ format:
```
4
Lattice="-3.1463 -1.5255 -1.4624 1.8495 -3.2566 -0.5820 -2.8067 -3.2858 9.4664" Properties=species:S:1:pos:R:3 pbc="T T T"
Ba -0.6484 -2.3911 -1.0222
Pt -2.0518 -4.0340 3.7110
Sr -1.8600 -2.1775 6.2733
Sr -0.9468 -1.1084 3.1932
```

Quick look at relative energies in meV per atom: <A> 0; <B> 95.

<A>
The following is a SCAN calculation of a PBEsol-optimized structure of BaTe2Pt, from Alexandria via LeMat-Bulk.

Properties
DOS(E_F), states/eV per atom: 0.942
SG: F-43m, No. 216

The structure in extended XYZ format:
```
4
Lattice="5.3519 0.0000 0.0000 2.6760 4.6349 0.0000 2.6760 1.5450 4.3698" Properties=species:S:1:pos:R:3 pbc="T T T"
Ba 5.3519 3.0899 2.1849
Pt 2.6760 1.5450 1.0925
Te 0.0000 0.0000 0.0000
Te 8.0279 4.6349 3.2774
```

<B>
The following is a SCAN calculation of a PBEsol-optimized structure of BaTe2Pt, from Alexandria via LeMat-Bulk.

Properties
DOS(E_F), states/eV per atom: 0.001
SG: Immm, No. 71

The structure in extended XYZ format:
```
4
Lattice="4.0674 0.0000 0.0000 -2.0337 5.6910 -0.0680 0.0000 -3.2663 5.2206" Properties=species:S:1:pos:R:3 pbc="T T T"
Ba 0.0000 -1.6332 2.6103
Pt 2.0337 0.0000 0.0000
Te 2.0337 0.9992 4.2619
Te 0.0000 1.4255 0.8907
```

<C>
The following is a SCAN calculation of a PBEsol-optimized structure of BaTe2Pt, from Alexandria via LeMat-Bulk.

Properties
DOS(E_F), states/eV per atom: 0.052
SG: Cm, No. 8

The structure in extended XYZ format:
```
4
Lattice="-2.2266 -3.3050 -1.3216 4.5256 -2.6664 -0.9567 1.0245 -0.5540 6.3285" Properties=species:S:1:pos:R:3 pbc="T T T"
Ba 1.1487 -3.0098 -1.0777
Pt -0.0578 -1.4612 3.7516
Te -1.1947 -3.7104 4.6225
Te 3.3747 -5.1889 0.6215
```

Quick look at relative energies in meV per atom: <A> 860; <B> 0; <C> 10.

<A>
The following is a SCAN calculation of a PBEsol-optimized structure of Ba2PtW, from Alexandria via LeMat-Bulk.

Properties
DOS(E_F), states/eV per atom: 0.916
SG: P4/mmm, No. 123

The structure in extended XYZ format:
```
4
Lattice="-1.6254 -0.6921 -2.6760 2.7443 -0.0334 -1.6583 1.0105 -9.5852 1.8652" Properties=species:S:1:pos:R:3 pbc="T T T"
W 1.0647 -5.1553 -1.2345
Pt 0.5594 -0.3627 -2.1671
Ba 0.7784 -7.3834 1.4368
Ba 0.2321 -2.2018 0.4284
```

<B>
The following is a SCAN calculation of a PBEsol-optimized structure of Ba2PtW, from Alexandria via LeMat-Bulk.

Properties
DOS(E_F), states/eV per atom: 0.619
SG: P4/mmm, No. 123

The structure in extended XYZ format:
```
4
Lattice="-3.8076 -0.6798 -0.7785 0.9393 -3.5159 -1.5240 -0.7849 -3.0150 6.4720" Properties=species:S:1:pos:R:3 pbc="T T T"
W -1.8266 -3.6053 2.0848
Pt -1.4342 -2.0978 -1.1512
Ba -0.6011 -2.3088 4.9561
Ba -0.1838 -0.7062 1.5159
```

<C>
The following is a SCAN calculation of a PBEsol-optimized structure of Ba2PtW, from Alexandria via LeMat-Bulk.

Properties
DOS(E_F), states/eV per atom: 0.629
SG: Fm-3m, No. 225

The structure in extended XYZ format:
```
4
Lattice="-3.9418 -0.6676 -3.7120 -4.1355 -3.4156 0.9969 -4.9986 1.9709 0.9446" Properties=species:S:1:pos:R:3 pbc="T T T"
W 0.0000 0.0000 0.0000
Pt -6.5379 -1.0562 -0.8853
Ba -3.2690 -0.5281 -0.4426
Ba -9.8069 -1.5843 -1.3279
```

Quick look at relative energies in meV per atom: <A> 103; <B> 0; <C> 125.